DFT (meta-GGA SCAN) results for a crystal of Na3SbRu relaxed with PBEsol.

Lattice parameters (Å, degrees): 5.2717 5.2717 5.2717 90.00 90.00 90.00
Atoms (fractional coordinates):
Na 0.0000 0.0000 0.5000
Na 0.0000 0.5000 0.0000
Na 0.5000 0.0000 0.0000
Sb 0.5000 0.5000 0.5000
Ru 0.0000 0.0000 0.0000

Properties
* total magnetization: 3.8 μB/f.u.
* symmetry: No. 221
* formation energy without anion corrections: 0.93 eV/atom

DFT (meta-GGA SCAN) results for a crystal of RbSiIrS2 relaxed with PBEsol.

Lattice parameters (Å, degrees): 5.1079 5.1079 5.2530 90.00 90.00 90.00
Atoms (fractional coordinates):
Rb 0.0000 0.0000 0.0000
Si 0.0000 0.0000 0.5000
Ir 0.5000 0.5000 0.5000
S 0.0000 0.5000 0.0000
S 0.5000 0.0000 0.0000

Properties
* total magnetization: 3.2 μB/f.u.
* symmetry: No. 123
* formation energy without anion corrections: 2.65 eV/atom

DFT (meta-GGA SCAN) results for a crystal of YSi2W relaxed with PBEsol.

Lattice parameters (Å, degrees): 3.8077 3.9209 4.5116 90.00 90.00 90.00
Atoms (fractional coordinates):
Y 0.0000 0.0000 0.0000
Si 0.0000 0.5000 0.5000
Si 0.5000 0.5000 0.0000
W 0.5000 0.0000 0.5000

Properties
* total magnetization: 0.0 μB/f.u.
* symmetry: No. 47
* formation energy without anion corrections: 0.20 eV/atom

DFT (meta-GGA SCAN) results for a crystal of NbSI3 relaxed with PBEsol.

Lattice parameters (Å, degrees): 5.3770 5.3770 5.3770 90.00 90.00 90.00
Atoms (fractional coordinates):
Nb 0.0000 0.0000 0.0000
S 0.5000 0.5000 0.5000
I 0.0000 0.5000 0.5000
I 0.5000 0.0000 0.5000
I 0.5000 0.5000 0.0000

Properties
* total magnetization: 3.5 μB/f.u.
* symmetry: No. 221
* formation energy without anion corrections: 0.90 eV/atom

DFT (meta-GGA SCAN) results for a crystal of ZrMnTe2 relaxed with PBEsol.

Lattice parameters (Å, degrees): 6.9445 6.9445 6.9445 90.00 90.00 90.00
Atoms (fractional coordinates):
Zr 0.0000 0.0000 0.0000
Zr 0.0000 0.5000 0.5000
Zr 0.5000 0.0000 0.5000
Zr 0.5000 0.5000 0.0000
Mn 0.0000 0.0000 0.5000
Mn 0.0000 0.5000 0.0000
Mn 0.5000 0.0000 0.0000
Mn 0.5000 0.5000 0.5000
Te 0.2500 0.2500 0.2500
Te 0.2500 0.2500 0.7500
Te 0.2500 0.7500 0.2500
Te 0.2500 0.7500 0.7500
Te 0.7500 0.2500 0.2500
Te 0.7500 0.2500 0.7500
Te 0.7500 0.7500 0.2500
Te 0.7500 0.7500 0.7500

Properties
* total magnetization: 3.0 μB/f.u.
* symmetry: No. 225
* relative energy among the computed polymorphs: 190 meV/atom
* formation energy without anion corrections: -0.42 eV/atom

DFT (meta-GGA SCAN) results for a crystal of RbZnPt3 relaxed with PBEsol.

Lattice parameters (Å, degrees): 4.9668 4.9668 4.9668 90.00 90.00 90.00
Atoms (fractional coordinates):
Rb 0.0000 0.0000 0.0000
Zn 0.5000 0.5000 0.5000
Pt 0.0000 0.0000 0.5000
Pt 0.0000 0.5000 0.0000
Pt 0.5000 0.0000 0.0000

Properties
* total magnetization: 0.7 μB/f.u.
* symmetry: No. 221
* ΔE_f: 12.28 eV per formula unit

DFT (meta-GGA SCAN) results for a crystal of Na2MgCoSb relaxed with PBEsol.

Lattice parameters (Å, degrees): 5.5617 5.5617 5.1029 90.00 90.00 90.00
Atoms (fractional coordinates):
Na 0.0000 0.5000 0.0000
Na 0.5000 0.0000 0.0000
Mg 0.0000 0.0000 0.0000
Co 0.5000 0.5000 0.5000
Sb 0.0000 0.0000 0.5000

Properties
* total magnetization: 2.0 μB/f.u.
* symmetry: No. 123
* formation energy without anion corrections: 0.82 eV/atom

DFT (meta-GGA SCAN) results for a crystal of LiZr2OF relaxed with PBEsol.

Lattice parameters (Å, degrees): 4.5174 4.5174 3.2063 90.00 90.00 90.00
Atoms (fractional coordinates):
Li 0.0000 0.0000 0.0000
Zr 0.0000 0.5000 0.5000
Zr 0.5000 0.0000 0.5000
O 0.5000 0.5000 0.0000
F 0.0000 0.0000 0.5000

Properties
* total magnetization: 0.0 μB/f.u.
* symmetry: No. 123
* formation energy without anion corrections: -0.80 eV/atom